*A*
Material: KHg2I
Method: DFT, PBE-GGA
State: optimized geometry

As for the symmetry: Fm-3m, No. 225.

a b c (Å): 6.056 6.056 6.056
angles (deg): 60.00 60.00 60.00
Sites, in units of the cell vectors:
K 0.000 0.000 0.000
Hg 0.250 0.250 0.250
Hg 0.750 0.750 0.750
I 0.500 0.500 0.500

*B*
Material: KHg2I
Method: DFT, PBE-GGA
State: optimized geometry

As for the symmetry: P4/mmm, No. 123.

a b c (Å): 4.893 4.893 6.610
angles (deg): 90.00 90.00 90.00
Sites, in units of the cell vectors:
K 0.000 0.000 0.000
Hg 0.000 0.500 0.500
Hg 0.500 0.000 0.500
I 0.500 0.500 0.000

*B* takes first place; second place is 121 meV per atom up.